Record 1
Dy2TeO6: optimized geometry, PBEsol.

Cell: 9.0099 9.0099 5.1850 Å, 90.00 90.00 120.00°
Last column: nearest neighbours and their distance in Å.
Element x y z (fractional)
Dy 0.0000 0.2785 0.0000  6 O 2.19-2.33
Dy 0.0000 0.6157 0.5000  6 O 2.22-2.35
Dy 0.2785 0.0000 0.0000  6 O 2.19-2.33
Dy 0.3843 0.3843 0.5000  6 O 2.22-2.35
Dy 0.6157 0.0000 0.5000  6 O 2.22-2.35
Dy 0.7215 0.7215 0.0000  6 O 2.19-2.33
Te 0.0000 0.0000 0.5000  6 O 1.93
Te 0.3333 0.6667 0.9932  6 O 1.94
Te 0.6667 0.3333 0.0068  6 O 1.94
O 0.0734 0.8730 0.2863  1 Te 1.93
O 0.1270 0.2003 0.2863  1 Te 1.93
O 0.1317 0.5433 0.2072  1 Te 1.94
O 0.2003 0.1270 0.7137  1 Te 1.93
O 0.2288 0.7656 0.7768  1 Te 1.94
O 0.2344 0.4632 0.7768  1 Te 1.94
O 0.4116 0.8683 0.2072  1 Te 1.94
O 0.4567 0.5884 0.2072  1 Te 1.94
O 0.4632 0.2344 0.2232  1 Te 1.94
O 0.5368 0.7712 0.7768  1 Te 1.94
O 0.5433 0.1317 0.7928  1 Te 1.94
O 0.5884 0.4567 0.7928  1 Te 1.94
O 0.7656 0.2288 0.2232  1 Te 1.94
O 0.7712 0.5368 0.2232  1 Te 1.94
O 0.7997 0.9266 0.2863  1 Te 1.93
O 0.8683 0.4116 0.7928  1 Te 1.94
O 0.8730 0.0734 0.7137  1 Te 1.93
O 0.9266 0.7997 0.7137  1 Te 1.93

Computed properties:
Uncorrected formation energy   -2.5963 eV/atom
E_tot   -7.594 eV/atom
Distance to the lowest polymorph of the same formula   0.019 eV per atom

=====

Record 2
NaBiPdCl2: optimized geometry, PBEsol.

Cell: 4.7022 4.7022 5.2804 Å, 90.00 90.00 90.00°
Last column: nearest neighbours and their distance in Å.
Element x y z (fractional)
Na 0.0000 0.0000 0.0000  4 Cl 2.35
Bi 0.5000 0.5000 0.5000  4 Pd 3.32, 8 Cl 3.54
Pd 0.0000 0.0000 0.5000  2 Na 2.64
Cl 0.0000 0.5000 0.0000  2 Na 2.35
Cl 0.5000 0.0000 0.0000  2 Na 2.35

Computed properties:
Uncorrected formation energy   -0.0050 eV/atom
E_tot   -3.137 eV/atom

=====

Record 3
BaYZr2: optimized geometry, PBEsol.

Cell: 10.2875 3.2862 7.1462 Å, 90.00 94.06 90.00°
Last column: nearest neighbours and their distance in Å.
Element x y z (fractional)
Ba 0.0000 0.0000 0.0000  2 Ba 3.29, 1 Y 3.43, 3 Zr 3.47-3.62
Ba 0.5000 0.5000 0.0000  2 Ba 3.29, 1 Y 3.43, 3 Zr 3.47-3.62
Y 0.2387 0.0000 0.6875  5 Zr 3.16-3.36, 2 Y 3.29, 1 Ba 3.43
Y 0.7387 0.5000 0.6875  5 Zr 3.16-3.36, 2 Y 3.29, 1 Ba 3.43
Zr 0.2566 0.5000 0.3127  5 Zr 2.94-3.29, 2 Y 3.16
Zr 0.4941 0.0000 0.4500  5 Zr 2.94-3.29, 1 Y 3.23
Zr 0.7566 0.0000 0.3127  5 Zr 2.94-3.29, 2 Y 3.16
Zr 0.9941 0.5000 0.4500  5 Zr 2.94-3.29, 1 Y 3.23

Computed properties:
E_tot   -6.416 eV/atom
Formation enthalpy at 0 K   0.37 eV/atom

=====

Record 4
KMnCr2: optimized geometry, PBEsol.

Cell: 6.6762 6.6762 6.6762 Å, 90.00 90.00 90.00°
Last column: nearest neighbours and their distance in Å.
Element x y z (fractional)
K 0.0000 0.0000 0.0000  4 Cr 2.89, 4 Mn 2.89
K 0.0000 0.5000 0.5000  4 Cr 2.89, 4 Mn 2.89
K 0.5000 0.0000 0.5000  4 Cr 2.89, 4 Mn 2.89
K 0.5000 0.5000 0.0000  4 Cr 2.89, 4 Mn 2.89
Mn 0.2500 0.2500 0.2500  4 K 2.89, 4 Cr 2.89
Mn 0.2500 0.7500 0.7500  4 K 2.89, 4 Cr 2.89
Mn 0.7500 0.2500 0.7500  4 K 2.89, 4 Cr 2.89
Mn 0.7500 0.7500 0.2500  4 K 2.89, 4 Cr 2.89
Cr 0.0000 0.0000 0.5000  4 Mn 2.89, 4 Cr 2.89
Cr 0.0000 0.5000 0.0000  4 Mn 2.89, 4 Cr 2.89
Cr 0.2500 0.2500 0.7500  4 Cr 2.89, 4 K 2.89
Cr 0.2500 0.7500 0.2500  4 Cr 2.89, 4 K 2.89
Cr 0.5000 0.0000 0.0000  4 Mn 2.89, 4 Cr 2.89
Cr 0.5000 0.5000 0.5000  4 Mn 2.89, 4 Cr 2.89
Cr 0.7500 0.2500 0.2500  4 Cr 2.89, 4 K 2.89
Cr 0.7500 0.7500 0.7500  4 Cr 2.89, 4 K 2.89

Computed properties:
E_tot   -6.378 eV/atom
Formation enthalpy at 0 K   1.47 eV/atom
Distance to the lowest polymorph of the same formula   0.528 eV per atom

=====

Calculated values (μB per formula unit) of spin magnetization for the records, taken in order: 0.0 0.0 0.0 4.0.